1.
YMn2 | PBE | relaxed

Lattice parameters (Å, degrees): 6.5768 6.5768 6.5768 90.00 90.00 90.00
Closest atoms and distances in Å follow each position.
Fractional positions:
Y 0.0000 0.0000 0.0000  6 Mn 2.74
Y 0.0000 0.5000 0.5000  6 Mn 2.74
Y 0.5000 0.0000 0.5000  6 Mn 2.74
Y 0.5000 0.5000 0.0000  6 Mn 2.74
Mn 0.1168 0.6168 0.8832  1 Mn 2.66, 3 Y 2.74
Mn 0.1168 0.8832 0.3832  1 Mn 2.66, 3 Y 2.74
Mn 0.3832 0.1168 0.8832  1 Mn 2.66, 3 Y 2.74
Mn 0.3832 0.3832 0.3832  1 Mn 2.66, 3 Y 2.74
Mn 0.6168 0.6168 0.6168  1 Mn 2.66, 3 Y 2.74
Mn 0.6168 0.8832 0.1168  1 Mn 2.66, 3 Y 2.74
Mn 0.8832 0.1168 0.6168  1 Mn 2.66, 3 Y 2.74
Mn 0.8832 0.3832 0.1168  1 Mn 2.66, 3 Y 2.74

Values from the calculation:
The energy relative to the elements comes out at 4.1 eV per formula unit.

***

2.
HoThCdPt | PBE | relaxed

Lattice parameters (Å, degrees): 5.1859 5.1859 5.1859 60.00 60.00 60.00
Closest atoms and distances in Å follow each position.
Fractional positions:
Ho 0.0000 0.0000 0.0000  4 Pt 3.18, 4 Cd 3.18
Th 0.5000 0.5000 0.5000  4 Pt 3.18, 4 Cd 3.18
Cd 0.2500 0.2500 0.2500  4 Th 3.18, 4 Ho 3.18
Pt 0.7500 0.7500 0.7500  4 Th 3.18, 4 Ho 3.18

Values from the calculation:
The energy relative to the elements comes out at -2.3 eV per formula unit.

***

3.
EuTmCoCu | PBE | relaxed

Lattice parameters (Å, degrees): 4.8519 4.8519 4.8519 60.00 60.00 60.00
Closest atoms and distances in Å follow each position.
Fractional positions:
Eu 0.0000 0.0000 0.0000  4 Co 2.97, 4 Cu 2.97
Tm 0.5000 0.5000 0.5000  4 Co 2.97, 4 Cu 2.97
Co 0.7500 0.7500 0.7500  4 Tm 2.97, 4 Eu 2.97
Cu 0.2500 0.2500 0.2500  4 Tm 2.97, 4 Eu 2.97

Values from the calculation:
The energy relative to the elements comes out at 0.0 eV per formula unit.

***

4.
BaCd2OsRh | PBE | relaxed

Lattice parameters (Å, degrees): 6.1425 6.1425 5.2781 90.00 90.00 90.00
Closest atoms and distances in Å follow each position.
Fractional positions:
Ba 0.0000 0.0000 0.0000  2 Os 2.64
Cd 0.0000 0.5000 0.0000  2 Ba 3.07
Cd 0.5000 0.0000 0.0000  2 Ba 3.07
Os 0.0000 0.0000 0.5000  2 Ba 2.64
Rh 0.5000 0.5000 0.5000  8 Cd 4.05, 4 Os 4.34

Values from the calculation:
The energy relative to the elements comes out at 11.4 eV per formula unit.

***

5.
PaCrIr | PBE | relaxed

Lattice parameters (Å, degrees): 4.2797 4.2797 3.6476 90.00 90.00 120.00
Closest atoms and distances in Å follow each position.
Fractional positions:
Pa 0.0000 0.0000 0.0000  6 Ir 3.07, 6 Cr 3.07
Cr 0.6667 0.3333 0.4993  3 Ir 2.47
Ir 0.3333 0.6667 0.5014  3 Cr 2.47

Values from the calculation:
The calculation puts the energy relative to the lowest polymorph listed for this composition at 0.000 eV/atom. The energy relative to the elements comes out at -0.4 eV per formula unit.

***

6.
BiSb | PBE | relaxed

Lattice parameters (Å, degrees): 5.3410 5.3410 6.6162 90.00 90.00 120.00
Closest atoms and distances in Å follow each position.
Fractional positions:
Bi 0.3333 0.6667 0.2500  5 Sb 3.08-3.31
Bi 0.6667 0.3333 0.7500  5 Sb 3.08-3.31
Sb 0.3333 0.6667 0.7500  5 Bi 3.08-3.31
Sb 0.6667 0.3333 0.2500  5 Bi 3.08-3.31

Values from the calculation:
The calculation puts the energy relative to the lowest polymorph listed for this composition at 0.152 eV/atom. The value obtained for the uncorrected formation energy is 0.15 eV/atom.

***

no.,DFT total energy (eV for the cell shown)
1,-83.0
2,-21.3
3,-26.0
4,-10.9
5,-28.4
6,-15.4